Record 1
VASP calculation (PBE) on Tb3MgCd3 after structural relaxation.

```
data_Tb3MgCd3
_chemical_formula_sum 'Tb12 Mg4 Cd12'
_symmetry_space_group_name_H-M 'C 1 2/m 1'
_symmetry_Int_Tables_number 12
_cell_length_a 7.259
_cell_length_b 10.555
_cell_length_c 9.956
_cell_angle_alpha 90.00
_cell_angle_beta 93.05
_cell_angle_gamma 90.00
loop_
_symmetry_equiv_pos_as_xyz
'x,y,z'
'-x,-y,-z'
'-x,y,-z'
'x,-y,z'
'x+1/2,y+1/2,z'
'-x+1/2,-y+1/2,-z'
'-x+1/2,y+1/2,-z'
'x+1/2,-y+1/2,z'
loop_
_atom_site_label
_atom_site_type_symbol
_atom_site_fract_x
_atom_site_fract_y
_atom_site_fract_z
Tb1 Tb 0.000 0.173 0.000
Tb2 Tb 0.000 0.232 0.500
Tb3 Tb 0.070 0.500 0.823
Mg1 Mg 0.213 0.500 0.468
Cd1 Cd 0.027 0.000 0.275
Cd2 Cd 0.234 0.284 0.243
```

Values from the calculation:
total moment: 0.000 μB per formula unit
electronic total energy: -19.27 eV/f.u.
energy of formation: -148 meV per atom
distance to the lowest polymorph of the same formula: 0.0 meV/atom
theoretical density: 7.310 g/cm3

=====

Record 2
VASP calculation (PBE) on Ce6Os2Au after structural relaxation.

```
data_Ce6Os2Au
_chemical_formula_sum 'Ce12 Os4 Au2'
_symmetry_space_group_name_H-M 'P 1 21/c 1'
_symmetry_Int_Tables_number 14
_cell_length_a 6.701
_cell_length_b 7.178
_cell_length_c 11.697
_cell_angle_alpha 90.00
_cell_angle_beta 123.54
_cell_angle_gamma 90.00
loop_
_symmetry_equiv_pos_as_xyz
'x,y,z'
'-x,-y,-z'
'-x,y+1/2,-z+1/2'
'x,-y+1/2,z+1/2'
loop_
_atom_site_label
_atom_site_type_symbol
_atom_site_fract_x
_atom_site_fract_y
_atom_site_fract_z
Ce1 Ce 0.065 0.195 0.423
Ce2 Ce 0.256 0.635 0.441
Ce3 Ce 0.423 0.078 0.232
Os1 Os 0.179 0.120 0.722
Au1 Au 0.500 0.000 0.500
```

Values from the calculation:
total moment: 2.187 μB per formula unit
electronic total energy: -62.60 eV/f.u.
energy of formation: -140 meV per atom
distance to the lowest polymorph of the same formula: 159.0 meV/atom
theoretical density: 10.043 g/cm3

=====

Record 3
VASP calculation (PBE) on KCoNi2 after structural relaxation.

```
data_KCoNi2
_chemical_formula_sum 'K4 Co4 Ni8'
_symmetry_space_group_name_H-M 'I 41/a m d'
_symmetry_Int_Tables_number 141
_cell_length_a 4.871
_cell_length_b 4.871
_cell_length_c 15.320
_cell_angle_alpha 90.00
_cell_angle_beta 90.00
_cell_angle_gamma 90.00
loop_
_symmetry_equiv_pos_as_xyz
'x,y,z'
'-x,-y,-z'
'-y+1/4,x+3/4,z+1/4'
'y+1/4,-x+3/4,-z+1/4'
'-x+1/2,-y,z+1/2'
'x+1/2,y,-z+1/2'
'y+1/4,-x+1/4,z+3/4'
'-y+1/4,x+1/4,-z+3/4'
'x,-y,-z'
'-x,y,z'
'-y+1/4,-x+1/4,-z+3/4'
'y+1/4,x+1/4,z+3/4'
'-x+1/2,y,-z+1/2'
'x+1/2,-y,z+1/2'
'y+1/4,x+3/4,-z+1/4'
'-y+1/4,-x+3/4,z+1/4'
'x+1/2,y+1/2,z+1/2'
'-x+1/2,-y+1/2,-z+1/2'
'-y+3/4,x+1/4,z+3/4'
'y+3/4,-x+1/4,-z+3/4'
'-x,-y+1/2,z'
'x,y+1/2,-z'
'y+3/4,-x+3/4,z+1/4'
'-y+3/4,x+3/4,-z+1/4'
'x+1/2,-y+1/2,-z+1/2'
'-x+1/2,y+1/2,z+1/2'
'-y+3/4,-x+3/4,-z+1/4'
'y+3/4,x+3/4,z+1/4'
'-x,y+1/2,-z'
'x,-y+1/2,z'
'y+3/4,x+1/4,-z+3/4'
'-y+3/4,-x+1/4,z+3/4'
loop_
_atom_site_label
_atom_site_type_symbol
_atom_site_fract_x
_atom_site_fract_y
_atom_site_fract_z
K1 K 0.000 0.250 0.375
Co1 Co 0.000 0.250 0.875
Ni1 Ni 0.000 0.000 0.000
```

Values from the calculation:
total moment: 3.230 μB per formula unit
electronic total energy: -16.42 eV/f.u.
energy of formation: 836 meV per atom
distance to the lowest polymorph of the same formula: 307.4 meV/atom
theoretical density: 3.937 g/cm3

=====

Record 4
VASP calculation (PBE) on Al6CuRh5 after structural relaxation.

```
data_Al6CuRh5
_chemical_formula_sum 'Al12 Cu2 Rh10'
_symmetry_space_group_name_H-M 'I m m m'
_symmetry_Int_Tables_number 71
_symmetry_space_group_name_Hall '-I 2 2'
_cell_length_a 4.282
_cell_length_b 5.899
_cell_length_c 12.906
_cell_angle_alpha 90.00
_cell_angle_beta 90.00
_cell_angle_gamma 90.00
loop_
_atom_site_label
_atom_site_type_symbol
_atom_site_fract_x
_atom_site_fract_y
_atom_site_fract_z
Al1 Al 0.000 0.247 0.000
Al2 Al 0.000 0.251 0.333
Cu1 Cu 0.000 0.500 0.500
Rh1 Rh 0.000 0.000 0.167
Rh2 Rh 0.000 0.000 0.500
Rh3 Rh 0.000 0.500 0.164
```

Values from the calculation:
total moment: 0.000 μB per formula unit
electronic total energy: -74.54 eV/f.u.
energy of formation: -936 meV per atom
theoretical density: 7.538 g/cm3

=====

Record 5
VASP calculation (PBE) on Tb2SmPd2 after structural relaxation.

```
data_Tb2SmPd2
_chemical_formula_sum 'Tb4 Sm2 Pd4'
_symmetry_space_group_name_H-M 'C 1 2/m 1'
_symmetry_Int_Tables_number 12
_cell_length_a 6.652
_cell_length_b 6.641
_cell_length_c 6.528
_cell_angle_alpha 90.00
_cell_angle_beta 114.98
_cell_angle_gamma 90.00
loop_
_symmetry_equiv_pos_as_xyz
'x,y,z'
'-x,-y,-z'
'-x,y,-z'
'x,-y,z'
'x+1/2,y+1/2,z'
'-x+1/2,-y+1/2,-z'
'-x+1/2,y+1/2,-z'
'x+1/2,-y+1/2,z'
loop_
_atom_site_label
_atom_site_type_symbol
_atom_site_fract_x
_atom_site_fract_y
_atom_site_fract_z
Tb1 Tb 0.000 0.247 0.000
Sm1 Sm 0.000 0.500 0.500
Pd1 Pd 0.138 0.000 0.719
```

Values from the calculation:
total moment: 0.000 μB per formula unit
electronic total energy: -26.96 eV/f.u.
energy of formation: -519 meV per atom
distance to the lowest polymorph of the same formula: 175.7 meV/atom
theoretical density: 8.652 g/cm3

=====

Record 6
VASP calculation (PBE) on TiCrSeBr2 after structural relaxation.

```
data_TiCrSeBr2
_chemical_formula_sum 'Ti1 Cr1 Se1 Br2'
_symmetry_space_group_name_H-M 'P 4/m m m'
_symmetry_Int_Tables_number 123
_symmetry_space_group_name_Hall '-P 4 2'
_cell_length_a 5.162
_cell_length_b 5.162
_cell_length_c 4.985
_cell_angle_alpha 90.00
_cell_angle_beta 90.00
_cell_angle_gamma 90.00
loop_
_atom_site_label
_atom_site_type_symbol
_atom_site_fract_x
_atom_site_fract_y
_atom_site_fract_z
Ti1 Ti 0.000 0.000 0.000
Cr1 Cr 0.500 0.500 0.500
Se1 Se 0.000 0.000 0.500
Br1 Br 0.000 0.500 0.000
```

Values from the calculation:
total moment: 5.998 μB per formula unit
electronic total energy: -25.37 eV/f.u.
distance to the lowest polymorph of the same formula: 0.0 meV/atom
theoretical density: 4.233 g/cm3

=====

Record 7
VASP calculation (PBE) on Ca7PbN2 after structural relaxation.

```
data_Ca7PbN2
_chemical_formula_sum 'Ca14 Pb2 N4'
_symmetry_space_group_name_H-M 'C m m m'
_symmetry_Int_Tables_number 65
_symmetry_space_group_name_Hall '-C 2 2'
_cell_length_a 9.149
_cell_length_b 12.527
_cell_length_c 4.772
_cell_angle_alpha 90.00
_cell_angle_beta 90.00
_cell_angle_gamma 90.00
loop_
_atom_site_label
_atom_site_type_symbol
_atom_site_fract_x
_atom_site_fract_y
_atom_site_fract_z
Ca1 Ca 0.000 0.000 0.000
Ca2 Ca 0.000 0.201 0.500
Ca3 Ca 0.172 0.359 0.000
Pb1 Pb 0.000 0.500 0.500
N1 N 0.000 0.210 0.000
```

Values from the calculation:
total moment: 1.690 μB per formula unit
electronic total energy: -38.09 eV/f.u.
theoretical density: 3.132 g/cm3

=====

Record 8
VASP calculation (PBE) on MgTl after structural relaxation.

```
data_MgTl
_chemical_formula_sum 'Mg2 Tl2'
_symmetry_space_group_name_H-M 'P 63/m m c'
_symmetry_Int_Tables_number 194
_symmetry_space_group_name_Hall '-P 6c 2c'
_cell_length_a 5.1552
_cell_length_b 5.1552
_cell_length_c 5.8649
_cell_angle_alpha 90.00
_cell_angle_beta 90.00
_cell_angle_gamma 120.00
loop_
_atom_site_label
_atom_site_type_symbol
_atom_site_fract_x
_atom_site_fract_y
_atom_site_fract_z
Mg1 Mg 0.3333 0.6667 0.2500
Tl1 Tl 0.3333 0.6667 0.7500
```

Values from the calculation:
total moment: 0.000 μB per formula unit
electronic total energy: -3.45 eV/f.u.
energy of formation: 254 meV per atom
theoretical density: 5.626 g/cm3

=====

Record 9
VASP calculation (PBE) on Cs2KTc after structural relaxation.

```
data_Cs2KTc
_chemical_formula_sum 'Cs8 K4 Tc4'
_symmetry_space_group_name_H-M 'F m -3 m'
_symmetry_Int_Tables_number 225
_symmetry_space_group_name_Hall '-F 4 2 3'
_cell_length_a 9.173
_cell_length_b 9.173
_cell_length_c 9.173
_cell_angle_alpha 90.00
_cell_angle_beta 90.00
_cell_angle_gamma 90.00
loop_
_atom_site_label
_atom_site_type_symbol
_atom_site_fract_x
_atom_site_fract_y
_atom_site_fract_z
Cs1 Cs 0.250 0.250 0.250
K1 K 0.000 0.000 0.000
Tc1 Tc 0.000 0.000 0.500
```

Values from the calculation:
total moment: 3.749 μB per formula unit
electronic total energy: -8.17 eV/f.u.
energy of formation: 1250 meV per atom
theoretical density: 3.467 g/cm3

=====

Record 10
VASP calculation (PBE) on NbCdPb3 after structural relaxation.

```
data_NbCdPb3
_chemical_formula_sum 'Nb1 Cd1 Pb3'
_symmetry_space_group_name_H-M 'P m -3 m'
_symmetry_Int_Tables_number 221
_symmetry_space_group_name_Hall '-P 4 2 3'
_cell_length_a 5.571
_cell_length_b 5.571
_cell_length_c 5.571
_cell_angle_alpha 90.00
_cell_angle_beta 90.00
_cell_angle_gamma 90.00
loop_
_atom_site_label
_atom_site_type_symbol
_atom_site_fract_x
_atom_site_fract_y
_atom_site_fract_z
Nb1 Nb 0.000 0.000 0.000
Cd1 Cd 0.500 0.500 0.500
Pb1 Pb 0.000 0.500 0.500
```

Values from the calculation:
total moment: 3.648 μB per formula unit
electronic total energy: -16.26 eV/f.u.
energy of formation: 1171 meV per atom
distance to the lowest polymorph of the same formula: 770.3 meV/atom
theoretical density: 7.943 g/cm3

=====

Record 11
VASP calculation (PBE) on Nd3Bi5S12 after structural relaxation.

```
data_Nd3Bi5S12
_chemical_formula_sum 'Nd24 Bi40 S96'
_symmetry_space_group_name_H-M 'I a -3 d'
_symmetry_Int_Tables_number 230
_symmetry_space_group_name_Hall '-I 4bd 2c 3'
_cell_length_a 16.579
_cell_length_b 16.579
_cell_length_c 16.579
_cell_angle_alpha 90.00
_cell_angle_beta 90.00
_cell_angle_gamma 90.00
loop_
_atom_site_label
_atom_site_type_symbol
_atom_site_fract_x
_atom_site_fract_y
_atom_site_fract_z
Nd1 Nd 0.000 0.250 0.125
Bi1 Bi 0.000 0.000 0.000
Bi2 Bi 0.000 0.250 0.375
S1 S 0.016 0.070 0.654
```

Values from the calculation:
total moment: 0.000 μB per formula unit
electronic total energy: -100.32 eV/f.u.
theoretical density: 5.429 g/cm3

=====

Record 12
VASP calculation (PBE) on HfIn2P2 after structural relaxation.

```
data_HfIn2P2
_chemical_formula_sum 'Hf2 In4 P4'
_symmetry_space_group_name_H-M 'P 4/m b m'
_symmetry_Int_Tables_number 127
_symmetry_space_group_name_Hall '-P 4 2ab'
_cell_length_a 7.054
_cell_length_b 7.054
_cell_length_c 4.142
_cell_angle_alpha 90.00
_cell_angle_beta 90.00
_cell_angle_gamma 90.00
loop_
_atom_site_label
_atom_site_type_symbol
_atom_site_fract_x
_atom_site_fract_y
_atom_site_fract_z
Hf1 Hf 0.000 0.000 0.000
In1 In 0.152 0.348 0.500
P1 P 0.171 0.671 0.000
```

Values from the calculation:
total moment: 0.000 μB per formula unit
electronic total energy: -27.18 eV/f.u.
energy of formation: -186 meV per atom
theoretical density: 7.576 g/cm3

=====

Record 13
VASP calculation (PBE) on CdReRu2 after structural relaxation.

```
data_CdReRu2
_chemical_formula_sum 'Cd1 Re1 Ru2'
_symmetry_space_group_name_H-M 'P 4/m m m'
_symmetry_Int_Tables_number 123
_symmetry_space_group_name_Hall '-P 4 2'
_cell_length_a 2.845
_cell_length_b 2.845
_cell_length_c 7.733
_cell_angle_alpha 90.00
_cell_angle_beta 90.00
_cell_angle_gamma 90.00
loop_
_atom_site_label
_atom_site_type_symbol
_atom_site_fract_x
_atom_site_fract_y
_atom_site_fract_z
Cd1 Cd 0.000 0.000 0.000
Re1 Re 0.000 0.000 0.500
Ru1 Ru 0.500 0.500 0.274
```

Values from the calculation:
total moment: 0.000 μB per formula unit
electronic total energy: -31.32 eV/f.u.
energy of formation: 149 meV per atom
theoretical density: 13.286 g/cm3

=====

Record 14
VASP calculation (PBE) on NbC after structural relaxation.

```
data_NbC
_chemical_formula_sum 'Nb8 C8'
_symmetry_space_group_name_H-M 'I 4/m'
_symmetry_Int_Tables_number 87
_symmetry_space_group_name_Hall '-I 4'
_cell_length_a 7.285
_cell_length_b 7.285
_cell_length_c 4.389
_cell_angle_alpha 90.00
_cell_angle_beta 90.00
_cell_angle_gamma 90.00
loop_
_atom_site_label
_atom_site_type_symbol
_atom_site_fract_x
_atom_site_fract_y
_atom_site_fract_z
Nb1 Nb 0.130 0.668 0.000
C1 C 0.110 0.690 0.500
```

Values from the calculation:
total moment: 0.000 μB per formula unit
electronic total energy: -19.78 eV/f.u.
energy of formation: -243 meV per atom
distance to the lowest polymorph of the same formula: 229.2 meV/atom
theoretical density: 5.984 g/cm3

=====

Record 15
VASP calculation (PBE) on SiGe2PbC after structural relaxation.

```
data_SiGe2PbC
_chemical_formula_sum 'Si1 Ge2 Pb1 C1'
_symmetry_space_group_name_H-M 'P 4/m m m'
_symmetry_Int_Tables_number 123
_symmetry_space_group_name_Hall '-P 4 2'
_cell_length_a 5.357
_cell_length_b 5.357
_cell_length_c 3.545
_cell_angle_alpha 90.00
_cell_angle_beta 90.00
_cell_angle_gamma 90.00
loop_
_atom_site_label
_atom_site_type_symbol
_atom_site_fract_x
_atom_site_fract_y
_atom_site_fract_z
Si1 Si 0.000 0.000 0.000
Ge1 Ge 0.000 0.500 0.000
Pb1 Pb 0.500 0.500 0.500
C1 C 0.000 0.000 0.500
```

Values from the calculation:
total moment: 0.000 μB per formula unit
electronic total energy: -23.22 eV/f.u.
distance to the lowest polymorph of the same formula: 0.0 meV/atom
theoretical density: 6.409 g/cm3

=====

Record 16
VASP calculation (PBE) on Ta4ZnIn after structural relaxation.

```
data_Ta4ZnIn
_chemical_formula_sum 'Ta16 Zn4 In4'
_symmetry_space_group_name_H-M 'F -4 3 m'
_symmetry_Int_Tables_number 216
_symmetry_space_group_name_Hall 'F -4 2 3'
_cell_length_a 7.807
_cell_length_b 7.807
_cell_length_c 7.807
_cell_angle_alpha 90.00
_cell_angle_beta 90.00
_cell_angle_gamma 90.00
loop_
_atom_site_label
_atom_site_type_symbol
_atom_site_fract_x
_atom_site_fract_y
_atom_site_fract_z
Ta1 Ta 0.125 0.125 0.125
Zn1 Zn 0.250 0.250 0.750
In1 In 0.000 0.000 0.500
```

Values from the calculation:
total moment: 0.000 μB per formula unit
electronic total energy: -48.46 eV/f.u.
energy of formation: 493 meV per atom
theoretical density: 12.619 g/cm3

=====

Record 17
VASP calculation (PBE) on KZnHg2 after structural relaxation.

```
data_KZnHg2
_chemical_formula_sum 'K1 Zn1 Hg2'
_symmetry_space_group_name_H-M 'P 1 m 1'
_symmetry_Int_Tables_number 6
_cell_length_a 3.877
_cell_length_b 5.123
_cell_length_c 5.992
_cell_angle_alpha 90.00
_cell_angle_beta 90.10
_cell_angle_gamma 90.00
loop_
_symmetry_equiv_pos_as_xyz
'x,y,z'
'x,-y,z'
loop_
_atom_site_label
_atom_site_type_symbol
_atom_site_fract_x
_atom_site_fract_y
_atom_site_fract_z
K1 K 0.000 0.000 0.000
Zn1 Zn 0.501 0.500 0.280
Hg1 Hg 0.499 0.500 0.772
Hg2 Hg 0.501 0.000 0.481
```

Values from the calculation:
total moment: 0.000 μB per formula unit
electronic total energy: -3.22 eV/f.u.
energy of formation: -60 meV per atom
theoretical density: 7.056 g/cm3